The following is a DFT calculation (PBE-GGA) of a relaxed structure of HgH2PbSe.

Results
final energy: -2.360 eV per atom

Cell lengths 4.069, 6.401, 4.069 Å; angles 90.00, 90.00, 90.00 degrees
Positions (direct):
Se  0.000  0.000  0.000
H  0.000  0.000  0.500
Pb  0.500  0.500  0.500
Hg  0.000  0.500  0.000
H  0.500  0.000  0.000

The following is a DFT calculation (PBE-GGA) of a relaxed structure of Nd3ErSn2.

Results
formation energy from the elements: -577 meV/atom
energy above the most stable polymorph in this dataset: 0.000 eV/atom

Cell lengths 6.573, 6.548, 9.856 Å; angles 109.40, 109.48, 90.00 degrees
Positions (direct):
Nd  0.500  0.250  0.000
Sn  0.381  0.137  0.275
Nd  0.500  0.750  0.000
Sn  0.106  0.363  0.725
Nd  0.573  0.325  0.651
Nd  0.922  0.175  0.349
Er  0.000  0.250  0.000
Nd  0.427  0.675  0.349
Sn  0.619  0.863  0.725
Sn  0.894  0.637  0.275
Er  0.000  0.750  0.000
Nd  0.078  0.825  0.651

The following is a DFT calculation (PBE-GGA) of a relaxed structure of Tb2Ge3Rh2.

Results
formation energy from the elements: -775 meV/atom
energy above the most stable polymorph in this dataset: 0.094 eV/atom

Cell lengths 4.241, 5.494, 6.708 Å; angles 112.09, 90.00, 112.70 degrees
Positions (direct):
Rh  0.133  0.266  0.222
Tb  0.848  0.696  0.223
Ge  0.619  0.238  0.448
Ge  0.500  0.000  0.000
Ge  0.381  0.762  0.552
Rh  0.867  0.734  0.778
Tb  0.152  0.304  0.777

The following is a DFT calculation (PBE-GGA) of a relaxed structure of BeCr2Cd.

Results
formation energy from the elements: 845 meV/atom
energy above the most stable polymorph in this dataset: 0.598 eV/atom

Cell lengths 4.213, 4.213, 4.213 Å; angles 60.00, 60.00, 60.00 degrees
Positions (direct):
Cr  0.250  0.250  0.250
Cr  0.750  0.750  0.750
Cd  0.500  0.500  0.500
Be  0.000  0.000  0.000

The following is a DFT calculation (PBE-GGA) of a relaxed structure of Nd3MgB2Pt9.

Results
formation energy from the elements: -811 meV/atom

Cell lengths 5.818, 5.818, 9.433 Å; angles 90.00, 90.00, 120.00 degrees
Positions (direct):
Mg  0.000  0.000  0.500
B  0.667  0.333  0.852
Nd  0.000  0.000  0.000
B  0.333  0.667  0.148
Pt  0.835  0.670  0.718
Pt  0.165  0.330  0.282
Nd  0.667  0.333  0.380
Pt  0.330  0.165  0.718
Pt  0.500  0.000  0.000
Nd  0.333  0.667  0.620
Pt  0.165  0.835  0.282
Pt  0.835  0.165  0.718
Pt  0.670  0.835  0.282
Pt  0.500  0.500  0.000
Pt  0.000  0.500  0.000

The following is a DFT calculation (PBE-GGA) of a relaxed structure of Nd8Pd3Pt2.

Results
formation energy from the elements: -618 meV/atom

Cell lengths 6.703, 7.526, 8.540 Å; angles 116.14, 101.07, 90.00 degrees
Positions (direct):
Nd  0.166  0.424  0.847
Nd  0.884  0.169  0.339
Pt  0.684  0.734  0.468
Nd  0.116  0.831  0.661
Pt  0.316  0.266  0.532
Nd  0.375  0.378  0.260
Nd  0.625  0.117  0.740
Nd  0.625  0.622  0.740
Pd  0.500  0.000  0.000
Nd  0.375  0.883  0.260
Pd  0.000  0.182  0.000
Pd  0.000  0.818  0.000
Nd  0.834  0.576  0.153

The following is a DFT calculation (PBE-GGA) of a relaxed structure of KCaZn.

Results
formation energy from the elements: 70 meV/atom

Cell lengths 4.103, 4.447, 7.007 Å; angles 89.96, 107.18, 90.02 degrees
Positions (direct):
Ca  0.725  0.692  0.495
Zn  0.270  0.192  0.587
K  0.991  0.194  0.028

The following is a DFT calculation (PBE-GGA) of a relaxed structure of Sm12Y3Tm.

Results
formation energy from the elements: 17 meV/atom

Cell lengths 5.105, 5.105, 20.387 Å; angles 90.00, 90.00, 90.00 degrees
Positions (direct):
Sm  0.500  0.500  0.500
Tm  0.000  0.000  0.000
Sm  0.500  0.500  0.751
Sm  0.500  0.500  0.249
Y  0.000  0.000  0.500
Sm  0.500  0.000  0.124
Sm  0.000  0.500  0.625
Sm  0.500  0.000  0.876
Sm  0.500  0.000  0.625
Y  0.000  0.000  0.249
Y  0.000  0.000  0.751
Sm  0.500  0.000  0.375
Sm  0.500  0.500  0.000
Sm  0.000  0.500  0.876
Sm  0.000  0.500  0.375
Sm  0.000  0.500  0.124

Number 1: volume 21.2 A^3/atom. Number 2: volume 31.2 A^3/atom. Number 3: volume 18.8 A^3/atom. Number 4: volume 13.2 A^3/atom. Number 5: volume 18.4 A^3/atom. Number 6: volume 29.1 A^3/atom. Number 7: volume 40.7 A^3/atom. Number 8: volume 33.2 A^3/atom.